[1]
# Zn4RuBr (PBE, optimized geometry)
# * total DFT energy (no corrections): -2.27 eV per atom
# * space group: No. 216
# * formation energy (no corrections): 407.3 meV per atom
data_Zn4RuBr
_chemical_formula_sum 'Zn4 Ru1 Br1'
_space_group_name_H-M_alt 'P 1'
_space_group_IT_number 1
_cell_length_a 5.160
_cell_length_b 5.160
_cell_length_c 5.160
_cell_angle_alpha 60.00
_cell_angle_beta 60.00
_cell_angle_gamma 60.00
loop_
_space_group_symop_operation_xyz
'x,y,z'
loop_
_atom_site_label
_atom_site_fract_x
_atom_site_fract_y
_atom_site_fract_z
Zn1 0.376 0.376 0.376
Zn2 0.376 0.376 0.871
Zn3 0.376 0.871 0.376
Zn4 0.871 0.376 0.376
Ru1 0.750 0.750 0.750
Br1 0.000 0.000 0.000

---

[2]
# ZnRu2Br (PBE, optimized geometry)
# * total DFT energy (no corrections): -4.65 eV per atom
# * space group: No. 65
# * polymorph energy (0 for the lowest one): 0.488 eV/atom
# * formation energy (no corrections): 720.9 meV per atom
data_ZnRu2Br
_chemical_formula_sum 'Zn2 Ru4 Br2'
_space_group_name_H-M_alt 'P 1'
_space_group_IT_number 1
_cell_length_a 2.869
_cell_length_b 5.129
_cell_length_c 8.704
_cell_angle_alpha 90.00
_cell_angle_beta 90.00
_cell_angle_gamma 90.00
loop_
_space_group_symop_operation_xyz
'x,y,z'
loop_
_atom_site_label
_atom_site_fract_x
_atom_site_fract_y
_atom_site_fract_z
Zn1 0.000 0.000 0.000
Zn2 0.500 0.500 0.000
Ru1 0.000 0.500 0.246
Ru2 0.000 0.500 0.754
Ru3 0.500 0.000 0.246
Ru4 0.500 0.000 0.754
Br1 0.000 0.000 0.500
Br2 0.500 0.500 0.500

---

[3]
# ZnRu2Br (PBE, optimized geometry)
# * total DFT energy (no corrections): -4.60 eV per atom
# * space group: No. 225
# * polymorph energy (0 for the lowest one): 0.540 eV/atom
# * formation energy (no corrections): 773.2 meV per atom
data_ZnRu2Br
_chemical_formula_sum 'Zn4 Ru8 Br4'
_space_group_name_H-M_alt 'P 1'
_space_group_IT_number 1
_cell_length_a 6.222
_cell_length_b 6.222
_cell_length_c 6.222
_cell_angle_alpha 90.00
_cell_angle_beta 90.00
_cell_angle_gamma 90.00
loop_
_space_group_symop_operation_xyz
'x,y,z'
loop_
_atom_site_label
_atom_site_fract_x
_atom_site_fract_y
_atom_site_fract_z
Zn1 0.000 0.000 0.000
Zn2 0.000 0.500 0.500
Zn3 0.500 0.000 0.500
Zn4 0.500 0.500 0.000
Ru1 0.250 0.250 0.250
Ru2 0.250 0.250 0.750
Ru3 0.250 0.750 0.250
Ru4 0.250 0.750 0.750
Ru5 0.750 0.250 0.250
Ru6 0.750 0.250 0.750
Ru7 0.750 0.750 0.250
Ru8 0.750 0.750 0.750
Br1 0.000 0.000 0.500
Br2 0.000 0.500 0.000
Br3 0.500 0.000 0.000
Br4 0.500 0.500 0.500

---

[4]
# ZnRu2Br (PBE, optimized geometry)
# * total DFT energy (no corrections): -4.76 eV per atom
# * space group: No. 35
# * polymorph energy (0 for the lowest one): 0.384 eV/atom
# * formation energy (no corrections): 616.7 meV per atom
data_ZnRu2Br
_chemical_formula_sum 'Zn2 Ru4 Br2'
_space_group_name_H-M_alt 'P 1'
_space_group_IT_number 1
_cell_length_a 2.835
_cell_length_b 4.938
_cell_length_c 9.995
_cell_angle_alpha 90.00
_cell_angle_beta 90.00
_cell_angle_gamma 90.00
loop_
_space_group_symop_operation_xyz
'x,y,z'
loop_
_atom_site_label
_atom_site_fract_x
_atom_site_fract_y
_atom_site_fract_z
Zn1 0.000 0.000 0.000
Zn2 0.500 0.500 0.000
Ru1 0.000 0.000 0.566
Ru2 0.000 0.500 0.778
Ru3 0.500 0.000 0.778
Ru4 0.500 0.500 0.566
Br1 0.000 0.500 0.326
Br2 0.500 0.000 0.326

---

[5]
# ZnRuBr (PBE, optimized geometry)
# * total DFT energy (no corrections): -3.67 eV per atom
# * space group: No. 156
# * polymorph energy (0 for the lowest one): 0.000 eV/atom
# * formation energy (no corrections): 405.3 meV per atom
data_ZnRuBr
_chemical_formula_sum 'Zn1 Ru1 Br1'
_space_group_name_H-M_alt 'P 1'
_space_group_IT_number 1
_cell_length_a 3.181
_cell_length_b 3.181
_cell_length_c 6.124
_cell_angle_alpha 90.00
_cell_angle_beta 90.00
_cell_angle_gamma 120.00
loop_
_space_group_symop_operation_xyz
'x,y,z'
loop_
_atom_site_label
_atom_site_fract_x
_atom_site_fract_y
_atom_site_fract_z
Zn1 0.000 0.000 0.000
Ru1 0.667 0.333 0.701
Br1 0.333 0.667 0.399

---

[6]
# ZnRuBr3 (PBE, optimized geometry)
# * total DFT energy (no corrections): -2.91 eV per atom
# * space group: No. 221
# * polymorph energy (0 for the lowest one): 0.000 eV/atom
# * formation energy (no corrections): 204.8 meV per atom
data_ZnRuBr3
_chemical_formula_sum 'Zn1 Ru1 Br3'
_space_group_name_H-M_alt 'P 1'
_space_group_IT_number 1
_cell_length_a 5.116
_cell_length_b 5.116
_cell_length_c 5.116
_cell_angle_alpha 90.00
_cell_angle_beta 90.00
_cell_angle_gamma 90.00
loop_
_space_group_symop_operation_xyz
'x,y,z'
loop_
_atom_site_label
_atom_site_fract_x
_atom_site_fract_y
_atom_site_fract_z
Zn1 0.000 0.000 0.000
Ru1 0.500 0.500 0.500
Br1 0.000 0.500 0.500
Br2 0.500 0.000 0.500
Br3 0.500 0.500 0.000

---

[7]
# ZnRu4Br (PBE, optimized geometry)
# * total DFT energy (no corrections): -5.71 eV per atom
# * space group: No. 216
# * formation energy (no corrections): 967.1 meV per atom
data_ZnRu4Br
_chemical_formula_sum 'Zn1 Ru4 Br1'
_space_group_name_H-M_alt 'P 1'
_space_group_IT_number 1
_cell_length_a 5.211
_cell_length_b 5.211
_cell_length_c 5.211
_cell_angle_alpha 60.00
_cell_angle_beta 60.00
_cell_angle_gamma 60.00
loop_
_space_group_symop_operation_xyz
'x,y,z'
loop_
_atom_site_label
_atom_site_fract_x
_atom_site_fract_y
_atom_site_fract_z
Zn1 0.000 0.000 0.000
Ru1 0.376 0.376 0.376
Ru2 0.376 0.376 0.873
Ru3 0.376 0.873 0.376
Ru4 0.873 0.376 0.376
Br1 0.750 0.750 0.750

---

[8]
# ZnRu2Br (PBE, optimized geometry)
# * total DFT energy (no corrections): -4.74 eV per atom
# * space group: No. 44
# * polymorph energy (0 for the lowest one): 0.397 eV/atom
# * formation energy (no corrections): 629.7 meV per atom
data_ZnRu2Br
_chemical_formula_sum 'Zn2 Ru4 Br2'
_space_group_name_H-M_alt 'P 1'
_space_group_IT_number 1
_cell_length_a 2.948
_cell_length_b 4.400
_cell_length_c 9.793
_cell_angle_alpha 90.00
_cell_angle_beta 90.00
_cell_angle_gamma 90.00
loop_
_space_group_symop_operation_xyz
'x,y,z'
loop_
_atom_site_label
_atom_site_fract_x
_atom_site_fract_y
_atom_site_fract_z
Zn1 0.000 0.000 0.000
Zn2 0.500 0.500 0.500
Ru1 0.000 0.000 0.494
Ru2 0.000 0.500 0.222
Ru3 0.500 0.000 0.722
Ru4 0.500 0.500 0.994
Br1 0.000 0.500 0.774
Br2 0.500 0.000 0.274

---

[9]
# ZnRu2Br (PBE, optimized geometry)
# * total DFT energy (no corrections): -4.66 eV per atom
# * space group: No. 47
# * polymorph energy (0 for the lowest one): 0.482 eV/atom
# * formation energy (no corrections): 715.4 meV per atom
data_ZnRu2Br
_chemical_formula_sum 'Zn1 Ru2 Br1'
_space_group_name_H-M_alt 'P 1'
_space_group_IT_number 1
_cell_length_a 2.897
_cell_length_b 4.476
_cell_length_c 4.930
_cell_angle_alpha 90.00
_cell_angle_beta 90.00
_cell_angle_gamma 90.00
loop_
_space_group_symop_operation_xyz
'x,y,z'
loop_
_atom_site_label
_atom_site_fract_x
_atom_site_fract_y
_atom_site_fract_z
Zn1 0.000 0.000 0.000
Ru1 0.000 0.500 0.500
Ru2 0.500 0.500 0.000
Br1 0.500 0.000 0.500

---

[10]
# Zn2Ru2Br (PBE, optimized geometry)
# * total DFT energy (no corrections): -3.99 eV per atom
# * space group: No. 127
# * polymorph energy (0 for the lowest one): 0.137 eV/atom
# * formation energy (no corrections): 561.2 meV per atom
data_Zn2Ru2Br
_chemical_formula_sum 'Zn4 Ru4 Br2'
_space_group_name_H-M_alt 'P 1'
_space_group_IT_number 1
_cell_length_a 8.050
_cell_length_b 8.050
_cell_length_c 2.684
_cell_angle_alpha 90.00
_cell_angle_beta 90.00
_cell_angle_gamma 90.00
loop_
_space_group_symop_operation_xyz
'x,y,z'
loop_
_atom_site_label
_atom_site_fract_x
_atom_site_fract_y
_atom_site_fract_z
Zn1 0.179 0.321 0.000
Zn2 0.321 0.821 0.000
Zn3 0.679 0.179 0.000
Zn4 0.821 0.679 0.000
Ru1 0.109 0.609 0.500
Ru2 0.391 0.109 0.500
Ru3 0.609 0.891 0.500
Ru4 0.891 0.391 0.500
Br1 0.000 0.000 0.000
Br2 0.500 0.500 0.000

---

[11]
# Zn2Ru2Br (PBE, optimized geometry)
# * total DFT energy (no corrections): -4.13 eV per atom
# * space group: No. 139
# * polymorph energy (0 for the lowest one): 0.000 eV/atom
# * formation energy (no corrections): 424.2 meV per atom
data_Zn2Ru2Br
_chemical_formula_sum 'Zn4 Ru4 Br2'
_space_group_name_H-M_alt 'P 1'
_space_group_IT_number 1
_cell_length_a 3.556
_cell_length_b 3.556
_cell_length_c 15.199
_cell_angle_alpha 90.00
_cell_angle_beta 90.00
_cell_angle_gamma 90.00
loop_
_space_group_symop_operation_xyz
'x,y,z'
loop_
_atom_site_label
_atom_site_fract_x
_atom_site_fract_y
_atom_site_fract_z
Zn1 0.000 0.000 0.119
Zn2 0.000 0.000 0.881
Zn3 0.500 0.500 0.381
Zn4 0.500 0.500 0.619
Ru1 0.000 0.500 0.250
Ru2 0.000 0.500 0.750
Ru3 0.500 0.000 0.250
Ru4 0.500 0.000 0.750
Br1 0.000 0.000 0.500
Br2 0.500 0.500 0.000

---

[12]
# ZnRuBr (PBE, optimized geometry)
# * total DFT energy (no corrections): -3.63 eV per atom
# * space group: No. 107
# * polymorph energy (0 for the lowest one): 0.043 eV/atom
# * formation energy (no corrections): 447.9 meV per atom
data_ZnRuBr
_chemical_formula_sum 'Zn2 Ru2 Br2'
_space_group_name_H-M_alt 'P 1'
_space_group_IT_number 1
_cell_length_a 3.098
_cell_length_b 3.098
_cell_length_c 12.067
_cell_angle_alpha 90.00
_cell_angle_beta 90.00
_cell_angle_gamma 90.00
loop_
_space_group_symop_operation_xyz
'x,y,z'
loop_
_atom_site_label
_atom_site_fract_x
_atom_site_fract_y
_atom_site_fract_z
Zn1 0.000 0.000 0.000
Zn2 0.500 0.500 0.500
Ru1 0.000 0.000 0.383
Ru2 0.500 0.500 0.883
Br1 0.000 0.000 0.741
Br2 0.500 0.500 0.241